No. 1
A plane-wave DFT calculation with PBE-GGA was carried out for an optimized crystal structure of PmCdIr4.

- Space group: F-43m (216)
- Electronic total energy: -43.07 eV for the cell shown
- Total magnetization: 0.000 μB/cell
- Energy relative to the elements: -326 meV per atom

abc: 5.3526 5.3526 5.3526
angles: 60.00 60.00 60.00
With the nearest neighbours (Å) after each atom.
Sites, in units of the cell vectors:
Ir: 0.6254 0.1239 0.6254  6 Ir 2.67-2.68
Ir: 0.1239 0.6254 0.6254  6 Ir 2.67-2.68
Ir: 0.6254 0.6254 0.6254  6 Ir 2.67-2.68
Ir: 0.6254 0.6254 0.1239  6 Ir 2.67-2.68
Pm: 0.2500 0.2500 0.2500  12 Ir 3.14, 4 Cd 3.28
Cd: 0.0000 0.0000 0.0000  12 Ir 3.14, 4 Pm 3.28

No. 2
A plane-wave DFT calculation with PBE-GGA was carried out for an optimized crystal structure of Zr3TiIn.

- Space group: P6_3/mmc (194)
- Energy above the most stable polymorph in this dataset: 0.4571 eV/atom
- Electronic total energy: -69.29 eV for the cell shown
- Total magnetization: 2.827 μB/cell
- Energy relative to the elements: 327 meV per atom

abc: 5.4032 6.9998 6.9998
angles: 119.97 90.00 90.00
With the nearest neighbours (Å) after each atom.
Sites, in units of the cell vectors:
In: 0.2500 0.3333 0.6667  12 Zr 3.19-3.52
In: 0.7500 0.6667 0.3333  12 Zr 3.19-3.52
Zr: 0.2500 0.8066 0.6138  2 Ti 2.70, 2 Zr 2.94-2.95
Zr: 0.7500 0.1934 0.3862  2 Ti 2.70, 2 Zr 2.94-2.95
Zr: 0.2500 0.3862 0.1934  2 Ti 2.70, 2 Zr 2.94-2.95
Zr: 0.7500 0.1931 0.8069  2 Ti 2.70, 2 Zr 2.95
Zr: 0.2500 0.8069 0.1931  2 Ti 2.70, 2 Zr 2.95
Zr: 0.7500 0.6138 0.8066  2 Ti 2.70, 2 Zr 2.94-2.95
Ti: 0.0000 0.0000 0.0000  2 Ti 2.70, 6 Zr 2.70
Ti: 0.5000 0.0000 0.0000  2 Ti 2.70, 6 Zr 2.70